[1]
Crystalline Pm6Nd3Dy2Pb at its relaxed geometry. Source: Alexandria via LeMat-Bulk, functional PBE.

abc: 6.267 6.267 11.900
angles: 95.11 95.11 120.14
Element x y z (fractional)
Pm 0.081 0.407 0.744
Pm 0.244 0.244 0.253
Pm 0.407 0.081 0.744
Pm 0.593 0.919 0.256
Pm 0.756 0.756 0.747
Pm 0.919 0.593 0.256
Nd 0.170 0.830 0.000
Nd 0.500 0.500 0.000
Nd 0.830 0.170 0.000
Dy 0.335 0.665 0.500
Dy 0.665 0.335 0.500
Pb 0.000 0.000 0.500

As for the space-group type: C2/m (12). The calculated formation energy comes out at -46 meV/atom. The calculation puts the spin magnetization at 0.00 μB/f.u. The total energy is -4.69 eV per atom. Its calculated volume is 33.14 Å³/atom.

[2]
Crystalline ZrTePO2 at its relaxed geometry. Source: Alexandria via LeMat-Bulk, functional PBE.

abc: 4.056 4.056 5.814
angles: 90.00 90.00 90.00
Element x y z (fractional)
Zr 0.000 0.000 0.000
Te 0.500 0.500 0.500
P 0.000 0.000 0.500
O 0.000 0.500 0.000
O 0.500 0.000 0.000

As for the space-group type: P4/mmm (123). The value obtained for the formation energy (no corrections) is -1.253 eV/atom. The calculation puts the spin magnetization at 0.74 μB/f.u. The total energy is -6.66 eV per atom. Its calculated volume is 19.13 Å³/atom. Its energy above the most stable polymorph in this dataset is 0.000 eV/f.u.

[3]
Crystalline ErBi2Te4 at its relaxed geometry. Source: Alexandria via LeMat-Bulk, functional PBE.

abc: 8.162 8.162 14.776
angles: 90.00 90.00 150.55
Element x y z (fractional)
Er 0.114 0.886 0.750
Er 0.886 0.114 0.250
Bi 0.366 0.634 0.572
Bi 0.366 0.634 0.928
Bi 0.634 0.366 0.072
Bi 0.634 0.366 0.428
Te 0.000 0.000 0.000
Te 0.000 0.000 0.500
Te 0.294 0.706 0.123
Te 0.294 0.706 0.377
Te 0.474 0.526 0.750
Te 0.526 0.474 0.250
Te 0.706 0.294 0.623
Te 0.706 0.294 0.877

As for the space-group type: Cmcm (63). The value obtained for the formation energy (no corrections) is -0.486 eV/atom. The calculation puts the spin magnetization at 0.00 μB/f.u. The total energy is -4.04 eV per atom. Its calculated volume is 34.56 Å³/atom.

[4]
Crystalline Pm6Sm5Er at its relaxed geometry. Source: Alexandria via LeMat-Bulk, functional PBE.

abc: 6.288 6.288 12.025
angles: 95.01 95.01 119.99
Element x y z (fractional)
Pm 0.083 0.415 0.249
Pm 0.250 0.250 0.751
Pm 0.415 0.083 0.249
Pm 0.585 0.917 0.751
Pm 0.750 0.750 0.249
Pm 0.917 0.585 0.751
Sm 0.166 0.834 0.500
Sm 0.333 0.667 0.000
Sm 0.500 0.500 0.500
Sm 0.667 0.333 0.000
Sm 0.834 0.166 0.500
Er 0.000 0.000 0.000

As for the space-group type: C2/m (12). The calculated formation energy comes out at 13 meV/atom. The calculation puts the spin magnetization at 0.00 μB/f.u. The total energy is -4.71 eV per atom. Its calculated volume is 33.80 Å³/atom.

[5]
Crystalline CsScTl at its relaxed geometry. Source: Alexandria via LeMat-Bulk, functional PBE.

abc: 3.563 6.960 8.796
angles: 90.00 90.03 90.00
Element x y z (fractional)
Cs 0.004 0.250 0.110
Cs 0.996 0.750 0.890
Sc 0.000 0.000 0.500
Sc 0.000 0.500 0.500
Tl 0.500 0.250 0.701
Tl 0.500 0.750 0.299

As for the space-group type: P2_1/m (11). The calculated formation energy comes out at 122 meV/atom. The calculation puts the spin magnetization at 0.21 μB/f.u. The total energy is -3.06 eV per atom. Its calculated volume is 36.35 Å³/atom. Its energy above the most stable polymorph in this dataset is 0.509 eV/f.u.

[6]
Crystalline Li2MgAlAu4 at its relaxed geometry. Source: Alexandria via LeMat-Bulk, functional PBE.

abc: 7.816 7.816 7.816
angles: 33.42 33.42 33.42
Element x y z (fractional)
Li 0.248 0.248 0.248
Li 0.752 0.752 0.752
Mg 0.500 0.500 0.500
Al 0.000 0.000 0.000
Au 0.120 0.120 0.120
Au 0.371 0.371 0.371
Au 0.629 0.629 0.629
Au 0.880 0.880 0.880

As for the space-group type: R-3m (166). The calculated formation energy comes out at -566 meV/atom. The calculation puts the spin magnetization at 0.00 μB/f.u. The total energy is -3.35 eV per atom. Its calculated volume is 16.13 Å³/atom.

[7]
Crystalline Pu3TlTc at its relaxed geometry. Source: Alexandria via LeMat-Bulk, functional PBE.

abc: 5.216 5.216 5.216
angles: 90.00 90.00 90.00
Element x y z (fractional)
Pu 0.000 0.000 0.500
Pu 0.000 0.500 0.000
Pu 0.500 0.000 0.000
Tl 0.500 0.500 0.500
Tc 0.000 0.000 0.000

As for the space-group type: Pm-3m (221). The calculated formation energy comes out at 224 meV/atom. The calculation puts the spin magnetization at 16.07 μB/f.u. The total energy is -10.92 eV per atom. Its calculated volume is 28.39 Å³/atom. Its energy above the most stable polymorph in this dataset is 0.761 eV/f.u.

[8]
Crystalline Ho6ErZr at its relaxed geometry. Source: Alexandria via LeMat-Bulk, functional PBE.

abc: 6.269 6.272 9.340
angles: 89.99 70.56 60.02
Element x y z (fractional)
Ho 0.004 0.435 0.190
Ho 0.252 0.940 0.811
Ho 0.373 0.691 0.189
Ho 0.627 0.309 0.811
Ho 0.748 0.060 0.189
Ho 0.996 0.565 0.810
Er 0.500 0.500 0.500
Zr 0.500 0.000 0.000

As for the space-group type: P-1 (2). The calculated formation energy comes out at 674 meV/atom. The calculation puts the spin magnetization at 0.75 μB/f.u. The total energy is -4.40 eV per atom. Its calculated volume is 36.71 Å³/atom. Its energy above the most stable polymorph in this dataset is 3.487 eV/f.u.

Look up the calculated volume of the seventh one.
28.39 Å³/atom

What is the spin magnetization in the first record?
0.00 μB/f.u.

Which value of total energy does entry 4 give?
-4.71 eV per atom